Below is crystalline Sr3Mn2VO9 at its relaxed geometry, with properties calculated at the PBE+U level.

Unit cell a=5.5160 b=5.5160 c=6.7573 alpha=90.00 beta=90.00 gamma=120.00
Closest atoms and distances in Å follow each position.
Element x y z (fractional)
Sr 0.0000 0.0000 0.0000  12 O 2.76-2.77
Sr 0.3333 0.6667 0.6722  12 O 2.73-2.78
Sr 0.6667 0.3333 0.3278  12 O 2.73-2.78
Mn 0.3333 0.6667 0.1642  6 O 1.94-2.01
Mn 0.6667 0.3333 0.8358  6 O 1.94-2.01
V 0.0000 0.0000 0.5000  6 O 1.90
O 0.0000 0.5000 0.0000  2 Mn 1.94
O 0.1632 0.3263 0.3383  1 V 1.90, 1 Mn 2.01
O 0.1632 0.8368 0.3383  1 V 1.90, 1 Mn 2.01
O 0.3263 0.1632 0.6617  1 V 1.90, 1 Mn 2.01
O 0.5000 0.0000 0.0000  2 Mn 1.94
O 0.5000 0.5000 0.0000  2 Mn 1.94
O 0.6737 0.8368 0.3383  1 V 1.90, 1 Mn 2.01
O 0.8368 0.1632 0.6617  1 V 1.90, 1 Mn 2.01
O 0.8368 0.6737 0.6617  1 V 1.90, 1 Mn 2.01

Computed properties:
Theoretical density in g/cm³: 5.294
N(E_F) in states/eV/cell: 1.67
Raw total energy in eV/atom: -7.032
Symmetry: P-3m1

---

Below is crystalline Sr2MnWO at its relaxed geometry, with properties calculated at the PBE+U level.

Unit cell a=5.5132 b=5.5132 c=4.1164 alpha=90.00 beta=90.00 gamma=90.00
Closest atoms and distances in Å follow each position.
Element x y z (fractional)
Sr 0.0000 0.5000 0.0000  2 O 2.76
Sr 0.5000 0.0000 0.0000  2 O 2.76
Mn 0.0000 0.0000 0.5000  2 O 2.06
W 0.5000 0.5000 0.5000  8 Sr 3.44
O 0.0000 0.0000 0.0000  2 Mn 2.06

Computed properties:
Theoretical density in g/cm³: 5.707
N(E_F) in states/eV/cell: 2.97
Raw total energy in eV/atom: -4.818
Symmetry: P4/mmm

---

Below is crystalline SrMnWO6 at its relaxed geometry, with properties calculated at the PBE+U level.

Unit cell a=4.9212 b=4.9212 c=9.5692 alpha=90.00 beta=90.00 gamma=90.00
Closest atoms and distances in Å follow each position.
Element x y z (fractional)
Sr 0.0000 0.0000 0.0000  6 O 2.35-2.51
Sr 0.5000 0.5000 0.5000  6 O 2.35-2.51
Mn 0.0000 0.0000 0.3283  6 O 1.94-2.04
Mn 0.5000 0.5000 0.8283  6 O 1.94-2.04
W 0.0000 0.0000 0.6656  6 O 1.94-2.01
W 0.5000 0.5000 0.1656  6 O 1.94-2.01
O 0.1631 0.1631 0.4927  1 Mn 1.94, 1 W 2.01
O 0.2197 0.2197 0.7920  1 W 1.95, 1 Mn 1.98
O 0.2237 0.2237 0.1907  1 W 1.94, 1 Mn 2.04
O 0.2763 0.7237 0.6907  1 W 1.94, 1 Mn 2.04
O 0.2803 0.7197 0.2920  1 W 1.95, 1 Mn 1.98
O 0.3369 0.6631 0.9927  1 Mn 1.94, 1 W 2.01
O 0.6631 0.3369 0.9927  1 Mn 1.94, 1 W 2.01
O 0.7197 0.2803 0.2920  1 W 1.95, 1 Mn 1.98
O 0.7237 0.2763 0.6907  1 W 1.94, 1 Mn 2.04
O 0.7763 0.7763 0.1907  1 W 1.94, 1 Mn 2.04
O 0.7803 0.7803 0.7920  1 W 1.95, 1 Mn 1.98
O 0.8369 0.8369 0.4927  1 Mn 1.94, 1 W 2.01

Computed properties:
Theoretical density in g/cm³: 6.053
N(E_F) in states/eV/cell: 1.90
Raw total energy in eV/atom: -7.019
Symmetry: P4_2nm

---

Below is crystalline Sr3Mn2WO9 at its relaxed geometry, with properties calculated at the PBE+U level.

Unit cell a=5.6451 b=5.6451 c=6.9614 alpha=90.00 beta=90.00 gamma=120.00
Closest atoms and distances in Å follow each position.
Element x y z (fractional)
Sr 0.0000 0.0000 0.0000  12 O 2.82-2.84
Sr 0.3333 0.6667 0.6895  12 O 2.71-2.96
Sr 0.6667 0.3333 0.3105  12 O 2.71-2.96
Mn 0.3333 0.6667 0.1590  6 O 1.97-2.09
Mn 0.6667 0.3333 0.8410  6 O 1.97-2.09
W 0.0000 0.0000 0.5000  6 O 1.94
O 0.0000 0.5000 0.0000  2 Mn 1.97
O 0.1623 0.3246 0.3385  1 W 1.94, 1 Mn 2.09
O 0.1623 0.8377 0.3385  1 W 1.94, 1 Mn 2.09
O 0.3246 0.1623 0.6615  1 W 1.94, 1 Mn 2.09
O 0.5000 0.0000 0.0000  2 Mn 1.97
O 0.5000 0.5000 0.0000  2 Mn 1.97
O 0.6754 0.8377 0.3385  1 W 1.94, 1 Mn 2.09
O 0.8377 0.1623 0.6615  1 W 1.94, 1 Mn 2.09
O 0.8377 0.6754 0.6615  1 W 1.94, 1 Mn 2.09

Computed properties:
Theoretical density in g/cm³: 6.055
N(E_F) in states/eV/cell: 0.99
Raw total energy in eV/atom: -7.137
Symmetry: P-3m1

---

Below is crystalline Sr2MnWO6 at its relaxed geometry, with properties calculated at the PBE+U level.

Unit cell a=5.7893 b=5.7893 c=4.0011 alpha=90.00 beta=90.00 gamma=90.00
Closest atoms and distances in Å follow each position.
Element x y z (fractional)
Sr 0.0000 0.5000 0.0000  12 O 2.86-2.89
Sr 0.5000 0.0000 0.0000  12 O 2.86-2.89
Mn 0.0000 0.0000 0.5000  6 O 2.00-2.15
W 0.5000 0.5000 0.5000  6 O 1.94-2.00
O 0.0000 0.0000 0.0000  2 Mn 2.00
O 0.2628 0.2628 0.5000  1 W 1.94, 1 Mn 2.15
O 0.2628 0.7372 0.5000  1 W 1.94, 1 Mn 2.15
O 0.5000 0.5000 0.0000  2 W 2.00
O 0.7372 0.2628 0.5000  1 W 1.94, 1 Mn 2.15
O 0.7372 0.7372 0.5000  1 W 1.94, 1 Mn 2.15

Computed properties:
Theoretical density in g/cm³: 6.315
N(E_F) in states/eV/cell: 2.71
Raw total energy in eV/atom: -7.133
Symmetry: P4/mmm

---

Below is crystalline Sr2MnWO6 at its relaxed geometry, with properties calculated at the PBE+U level.

Unit cell a=5.7422 b=5.7860 c=9.9526 alpha=90.00 beta=125.17 gamma=90.00
Closest atoms and distances in Å follow each position.
Element x y z (fractional)
Sr 0.2447 0.0322 0.2508  6 O 2.53-2.79
Sr 0.2447 0.4678 0.7508  6 O 2.53-2.79
Sr 0.7553 0.5322 0.2492  6 O 2.53-2.79
Sr 0.7553 0.9678 0.7492  6 O 2.53-2.79
Mn 0.5000 0.0000 0.0000  6 O 2.19-2.20
Mn 0.5000 0.5000 0.5000  6 O 2.19-2.20
W 0.0000 0.0000 0.5000  6 O 1.96
W 0.0000 0.5000 0.0000  6 O 1.96
O 0.1612 0.2298 0.9620  1 W 1.96
O 0.1612 0.2702 0.4620  1 W 1.96
O 0.2351 0.7020 0.9656  1 W 1.96, 1 Mn 2.19
O 0.2351 0.7980 0.4656  1 W 1.96, 1 Mn 2.19
O 0.3043 0.0171 0.7353  1 W 1.96, 1 Mn 2.19
O 0.3043 0.4829 0.2353  1 W 1.96, 1 Mn 2.19
O 0.6957 0.5171 0.7647  1 W 1.96, 1 Mn 2.19
O 0.6957 0.9829 0.2647  1 W 1.96, 1 Mn 2.19
O 0.7649 0.2020 0.5344  1 W 1.96, 1 Mn 2.19
O 0.7649 0.2980 0.0344  1 W 1.96, 1 Mn 2.19
O 0.8388 0.7298 0.5380  1 W 1.96
O 0.8388 0.7702 0.0380  1 W 1.96

Computed properties:
Theoretical density in g/cm³: 6.266
N(E_F) in states/eV/cell: 0.00
Raw total energy in eV/atom: -7.263
Symmetry: P2_1/c

---

Below is crystalline Sr2YMnO5 at its relaxed geometry, with properties calculated at the PBE+U level.

Unit cell a=6.8990 b=6.8990 c=11.5844 alpha=90.00 beta=90.00 gamma=150.61
Closest atoms and distances in Å follow each position.
Element x y z (fractional)
Sr 0.0864 0.9136 0.5000  4 O 2.43-2.50
Sr 0.1514 0.8486 0.1291  7 O 2.57-2.73
Sr 0.8486 0.1514 0.6291  7 O 2.57-2.73
Sr 0.9136 0.0864 0.0000  4 O 2.43-2.50
Y 0.2120 0.7880 0.8499  6 O 2.21-2.33
Y 0.7880 0.2120 0.3499  6 O 2.21-2.33
Mn 0.4764 0.5236 0.2656  5 O 1.95-2.06
Mn 0.5236 0.4764 0.7656  5 O 1.95-2.06
O 0.0461 0.9539 0.8562  2 Mn 2.06, 1 Y 2.21
O 0.2706 0.7294 0.4806  2 Y 2.33, 1 Sr 2.47
O 0.3286 0.6714 0.2267  1 Mn 2.02
O 0.3787 0.6213 0.8064  1 Mn 1.99
O 0.4873 0.5127 0.6026  1 Mn 1.95
O 0.5127 0.4873 0.1026  1 Mn 1.95
O 0.6213 0.3787 0.3064  1 Mn 1.99
O 0.6714 0.3286 0.7267  1 Mn 2.02
O 0.7294 0.2706 0.9806  2 Y 2.33, 1 Sr 2.47
O 0.9539 0.0461 0.3562  2 Mn 2.06, 1 Y 2.21

Computed properties:
Theoretical density in g/cm³: 4.898
Raw total energy in eV/atom: -7.301
Symmetry: Cmc2_1

---

Below is crystalline SrMnZnO3 at its relaxed geometry, with properties calculated at the PBE+U level.

Unit cell a=6.0324 b=6.0324 c=9.7655 alpha=90.00 beta=90.00 gamma=148.71
Closest atoms and distances in Å follow each position.
Element x y z (fractional)
Sr 0.2112 0.7888 0.7500  6 O 2.54-2.59
Sr 0.7888 0.2112 0.2500  6 O 2.54-2.59
Mn 0.0000 0.0000 0.0000  4 O 2.18
Mn 0.0000 0.0000 0.5000  4 O 2.18
Zn 0.4766 0.5234 0.7500  4 O 1.99-2.01
Zn 0.5234 0.4766 0.2500  4 O 1.99-2.01
O 0.1215 0.8785 0.2500  2 Zn 1.99
O 0.4059 0.5941 0.0985  1 Zn 2.01, 2 Mn 2.18
O 0.4059 0.5941 0.4015  1 Zn 2.01, 2 Mn 2.18
O 0.5941 0.4059 0.5985  1 Zn 2.01, 2 Mn 2.18
O 0.5941 0.4059 0.9015  1 Zn 2.01, 2 Mn 2.18
O 0.8785 0.1215 0.7500  2 Zn 1.99

Computed properties:
Theoretical density in g/cm³: 4.606
Raw total energy in eV/atom: -6.038
Symmetry: Cmcm

---

Below is crystalline SrMnZnO4 at its relaxed geometry, with properties calculated at the PBE+U level.

Unit cell a=5.6151 b=5.6151 c=6.8582 alpha=90.00 beta=90.00 gamma=90.00
Closest atoms and distances in Å follow each position.
Element x y z (fractional)
Sr 0.0000 0.0000 0.0000  4 O 2.57
Sr 0.5000 0.5000 0.5000  4 O 2.57
Mn 0.0000 0.5000 0.2500  4 O 1.83
Mn 0.5000 0.0000 0.7500  4 O 1.83
Zn 0.0000 0.0000 0.5000  4 O 1.98
Zn 0.5000 0.5000 0.0000  4 O 1.98
O 0.1671 0.7535 0.3465  1 Mn 1.83, 1 Zn 1.98
O 0.2465 0.1671 0.6535  1 Mn 1.83, 1 Zn 1.98
O 0.2535 0.3329 0.1535  1 Mn 1.83, 1 Zn 1.98
O 0.3329 0.7465 0.8465  1 Mn 1.83, 1 Zn 1.98
O 0.6671 0.2535 0.8465  1 Mn 1.83, 1 Zn 1.98
O 0.7465 0.6671 0.1535  1 Mn 1.83, 1 Zn 1.98
O 0.7535 0.8329 0.6535  1 Mn 1.83, 1 Zn 1.98
O 0.8329 0.2465 0.3465  1 Mn 1.83, 1 Zn 1.98

Computed properties:
Theoretical density in g/cm³: 4.177
N(E_F) in states/eV/cell: 6.89
Raw total energy in eV/atom: -5.996
Symmetry: I-4

---

Below is crystalline Ta3MnO at its relaxed geometry, with properties calculated at the PBE+U level.

Unit cell a=4.5533 b=4.5533 c=4.5533 alpha=90.00 beta=90.00 gamma=90.00
Closest atoms and distances in Å follow each position.
Element x y z (fractional)
Ta 0.0000 0.0000 0.5000  2 Mn 2.28
Ta 0.0000 0.5000 0.0000  2 Mn 2.28
Ta 0.5000 0.0000 0.0000  2 Mn 2.28
Mn 0.0000 0.0000 0.0000  6 Ta 2.28
O 0.5000 0.5000 0.5000  12 Ta 3.22

Computed properties:
Theoretical density in g/cm³: 10.796
N(E_F) in states/eV/cell: 4.01
Raw total energy in eV/atom: -7.802
Energy above the most stable polymorph in this dataset in meV/atom: 2139.1
Symmetry: Pm-3m